1.
A plane-wave DFT calculation with PBE was carried out for HoTm2Sn after structural relaxation.

Cell lengths 3.4397, 3.4397, 34.9699 Å; angles 90.00, 90.00, 120.00 degrees
Space group R-3m (No. 166, hexagonal axes)
One atom of each set of equivalent atoms:
Ho (0.0000, 0.0000, 0.0000) (multiplicity 3)
Tm (0.0000, 0.0000, 0.0949) (multiplicity 6)
Sn (0.0000, 0.0000, 0.5000) (multiplicity 3)

Output
As for the formation energy: 0.033 eV/atom. The value obtained for the relative energy among the computed polymorphs is 0.429 eV/atom. The calculation puts the density of states at the Fermi level at 16.25 states/eV/cell. The electronic total energy is -4.348 eV/atom.

***

2.
A plane-wave DFT calculation with PBE was carried out for HoTm5Sn6 after structural relaxation.

Cell lengths 5.6295, 13.8641, 8.4595 Å; angles 90.00, 102.04, 90.00 degrees
Space group C2/m (No. 12)
One atom of each set of equivalent atoms:
Ho (0.0000, 0.0000, 0.0000) (multiplicity 2)
Tm (0.0000, 0.0000, 0.5000) (multiplicity 2)
Tm (0.0000, 0.3324, 0.0000) (multiplicity 4)
Tm (0.0000, 0.3342, 0.5000) (multiplicity 4)
Sn (0.0009, 0.1672, 0.7487) (multiplicity 8)
Sn (0.0049, 0.5000, 0.2490) (multiplicity 4)

Output
As for the formation energy: -0.585 eV/atom. The calculation puts the density of states at the Fermi level at 11.23 states/eV/cell. The electronic total energy is -4.831 eV/atom.

***

3.
A plane-wave DFT calculation with PBE was carried out for HoTm3Sn3 after structural relaxation.

Cell lengths 10.3592, 10.3592, 6.3278 Å; angles 90.00, 90.00, 120.00 degrees
Space group R3m (No. 160, hexagonal axes)
One atom of each set of equivalent atoms:
Ho (0.0000, 0.0000, 0.0000) (multiplicity 3)
Tm (0.1986, 0.3973, 0.2039) (multiplicity 9)
Sn (0.0008, 0.5004, 0.4027) (multiplicity 9)

Output
As for the formation energy: -0.492 eV/atom. The calculation puts the density of states at the Fermi level at 15.46 states/eV/cell. The electronic total energy is -4.778 eV/atom.

***

4.
A plane-wave DFT calculation with PBE was carried out for Ho8Tm2Sn after structural relaxation.

Cell lengths 19.2196, 5.4880, 6.3621 Å; angles 90.00, 94.94, 90.00 degrees
Space group C2/m (No. 12)
One atom of each set of equivalent atoms:
Ho (0.0443, 0.0000, 0.2646) (multiplicity 4)
Ho (0.0789, 0.5000, 0.5978) (multiplicity 4)
Ho (0.1550, 0.0000, 0.8024) (multiplicity 4)
Ho (0.1622, 0.5000, 0.1232) (multiplicity 4)
Tm (0.2433, 0.0000, 0.3369) (multiplicity 4)
Sn (0.0000, 0.5000, 0.0000) (multiplicity 2)

Output
As for the formation energy: -0.101 eV/atom. The calculation puts the density of states at the Fermi level at 30.89 states/eV/cell. The electronic total energy is -4.608 eV/atom.

***

5.
A plane-wave DFT calculation with PBE was carried out for Ho8Tm6Sn after structural relaxation.

Cell lengths 12.3864, 12.3864, 3.5062 Å; angles 90.00, 90.00, 120.00 degrees
Space group P6/m (No. 175)
One atom of each set of equivalent atoms:
Ho (0.0952, 0.3104, 0.0000) (multiplicity 6)
Ho (0.3333, 0.6667, 0.0000) (multiplicity 2)
Tm (0.1088, 0.6353, 0.5000) (multiplicity 6)
Sn (0.0000, 0.0000, 0.5000) (multiplicity 1)

Output
As for the formation energy: 0.226 eV/atom. The calculation puts the density of states at the Fermi level at 17.96 states/eV/cell. The electronic total energy is -4.271 eV/atom.

***

6.
A plane-wave DFT calculation with PBE was carried out for HoTm5Sn3 after structural relaxation.

Cell lengths 7.4266, 7.4266, 18.8243 Å; angles 90.00, 90.00, 90.00 degrees
Space group I4/mcm (No. 140)
One atom of each set of equivalent atoms:
Ho (0.0000, 0.5000, 0.2500) (multiplicity 4)
Tm (0.0000, 0.0000, 0.0000) (multiplicity 4)
Tm (0.1980, 0.3020, 0.1262) (multiplicity 16)
Sn (0.0000, 0.0000, 0.2500) (multiplicity 4)
Sn (0.1286, 0.3714, 0.5000) (multiplicity 8)

Output
As for the formation energy: -0.198 eV/atom. The calculation puts the density of states at the Fermi level at 47.61 states/eV/cell. The electronic total energy is -4.525 eV/atom.

***

7.
A plane-wave DFT calculation with PBE was carried out for Ho3TmSn3 after structural relaxation.

Cell lengths 9.0126, 9.0126, 5.4320 Å; angles 90.00, 90.00, 120.00 degrees
Space group P6_3/m (No. 176)
One atom of each set of equivalent atoms:
Ho (0.0080, 0.7685, 0.2500) (multiplicity 6)
Tm (0.3333, 0.6667, 0.2500) (multiplicity 2)
Sn (0.0778, 0.6224, 0.7500) (multiplicity 6)

Output
As for the formation energy: -0.489 eV/atom. The calculation puts the density of states at the Fermi level at 11.41 states/eV/cell. The electronic total energy is -4.805 eV/atom.

***

8.
A plane-wave DFT calculation with PBE was carried out for Ho5TmSn4 after structural relaxation.

Cell lengths 18.0760, 4.9013, 6.4419 Å; angles 90.00, 90.53, 90.00 degrees
Space group C2/m (No. 12)
One atom of each set of equivalent atoms:
Ho (0.0000, 0.0000, 0.0000) (multiplicity 2)
Ho (0.1062, 0.5000, 0.2540) (multiplicity 4)
Ho (0.1887, 0.0000, 0.7518) (multiplicity 4)
Tm (0.0000, 0.0000, 0.5000) (multiplicity 2)
Sn (0.0738, 0.5000, 0.7510) (multiplicity 4)
Sn (0.1981, 0.0000, 0.2510) (multiplicity 4)

Output
As for the formation energy: -0.601 eV/atom. The calculation puts the density of states at the Fermi level at 12.40 states/eV/cell. The electronic total energy is -4.938 eV/atom.